[1]
# Ac2TbNpN4 (PBE, relaxed)
data_Ac2TbNpN4
_chemical_formula_sum 'Ac2 Tb1 Np1 N4'
_cell_length_a 3.6278
_cell_length_b 6.1922
_cell_length_c 6.4658
_cell_angle_alpha 108.31
_cell_angle_beta 90.00
_cell_angle_gamma 90.00
_symmetry_space_group_name_H-M 'P 1'
_symmetry_Int_Tables_number 1
_symmetry_space_group_name_Hall 'P 1'
loop_
_atom_site_label
_atom_site_fract_x
_atom_site_fract_y
_atom_site_fract_z
N1 0.5000 0.7788 0.7994
N2 0.0000 0.2392 0.7998
Np1 0.0000 0.0000 0.0000
Tb1 0.5000 0.5000 0.0000
N3 0.0000 0.7608 0.2002
Ac1 0.0000 0.5000 0.5000
Ac2 0.5000 0.0000 0.5000
N4 0.5000 0.2212 0.2006
# * space group: P2/m

***

[2]
# Tb4Er3Al (PBE, relaxed)
data_Tb4Er3Al
_chemical_formula_sum 'Tb4 Er3 Al1'
_cell_length_a 3.5299
_cell_length_b 3.5299
_cell_length_c 18.9577
_cell_angle_alpha 90.00
_cell_angle_beta 90.00
_cell_angle_gamma 90.00
_symmetry_space_group_name_H-M 'P 1'
_symmetry_Int_Tables_number 1
_symmetry_space_group_name_Hall 'P 1'
loop_
_atom_site_label
_atom_site_fract_x
_atom_site_fract_y
_atom_site_fract_z
Er1 0.5000 0.5000 0.2368
Al1 0.5000 0.5000 0.0000
Tb1 0.0000 0.0000 0.8985
Er2 0.5000 0.5000 0.7632
Tb2 0.0000 0.0000 0.1015
Er3 0.5000 0.5000 0.5000
Tb3 0.0000 0.0000 0.3675
Tb4 0.0000 0.0000 0.6325
# * calculated formation energy: -0.629 eV/f.u.
# * space group: P4/mmm

***

[3]
# Y6Ho2Tm3Th (PBE, relaxed)
data_Y6Ho2Tm3Th
_chemical_formula_sum 'Y6 Ho2 Tm3 Th1'
_cell_length_a 6.1447
_cell_length_b 6.1447
_cell_length_c 11.7582
_cell_angle_alpha 95.00
_cell_angle_beta 95.00
_cell_angle_gamma 119.96
_symmetry_space_group_name_H-M 'P 1'
_symmetry_Int_Tables_number 1
_symmetry_space_group_name_Hall 'P 1'
loop_
_atom_site_label
_atom_site_fract_x
_atom_site_fract_y
_atom_site_fract_z
Ho1 0.6667 0.3333 0.0000
Th1 0.0000 0.0000 0.0000
Y1 0.4150 0.0844 0.2505
Tm1 0.8326 0.1674 0.5000
Y2 0.5850 0.9156 0.7495
Ho2 0.3333 0.6667 0.0000
Y3 0.9156 0.5850 0.7495
Tm2 0.5000 0.5000 0.5000
Y4 0.0844 0.4150 0.2505
Y5 0.2461 0.2461 0.7495
Y6 0.7539 0.7539 0.2505
Tm3 0.1674 0.8326 0.5000
# * calculated formation energy: 0.372 eV/f.u.
# * space group: C2/m

***

[4]
# Pr3SmAu2 (PBE, relaxed)
data_Pr3SmAu2
_chemical_formula_sum 'Pr6 Sm2 Au4'
_cell_length_a 3.9271
_cell_length_b 9.1397
_cell_length_c 10.2086
_cell_angle_alpha 90.00
_cell_angle_beta 90.00
_cell_angle_gamma 90.00
_symmetry_space_group_name_H-M 'P 1'
_symmetry_Int_Tables_number 1
_symmetry_space_group_name_Hall 'P 1'
loop_
_atom_site_label
_atom_site_fract_x
_atom_site_fract_y
_atom_site_fract_z
Pr1 0.0000 0.3382 0.2811
Pr2 0.0000 0.4906 0.9226
Pr3 0.5000 0.6627 0.2212
Pr4 0.5000 0.1627 0.7788
Au1 0.5000 0.7708 0.9339
Au2 0.0000 0.7293 0.4358
Sm1 0.5000 0.0084 0.4304
Pr5 0.0000 0.9906 0.0774
Sm2 0.5000 0.5084 0.5696
Au3 0.0000 0.2293 0.5642
Pr6 0.0000 0.8382 0.7189
Au4 0.5000 0.2708 0.0661
# * energy above the lowest structure with this stoichiometry: 0 meV/atom
# * calculated formation energy: -3.058 eV/f.u.
# * space group: Pmc2_1

***

[5]
# NdTmMgIr (PBE, relaxed)
data_NdTmMgIr
_chemical_formula_sum 'Nd1 Tm1 Mg1 Ir1'
_cell_length_a 5.0799
_cell_length_b 5.0799
_cell_length_c 5.0799
_cell_angle_alpha 60.00
_cell_angle_beta 60.00
_cell_angle_gamma 60.00
_symmetry_space_group_name_H-M 'P 1'
_symmetry_Int_Tables_number 1
_symmetry_space_group_name_Hall 'P 1'
loop_
_atom_site_label
_atom_site_fract_x
_atom_site_fract_y
_atom_site_fract_z
Tm1 0.7500 0.7500 0.7500
Ir1 0.0000 0.0000 0.0000
Nd1 0.2500 0.2500 0.2500
Mg1 0.5000 0.5000 0.5000
# * calculated formation energy: -1.562 eV/f.u.
# * space group: F-43m

***

[6]
# Tb2Pt9Pb (PBE, relaxed)
data_Tb2Pt9Pb
_chemical_formula_sum 'Tb2 Pt9 Pb1'
_cell_length_a 4.1256
_cell_length_b 4.1256
_cell_length_c 12.4153
_cell_angle_alpha 90.00
_cell_angle_beta 90.00
_cell_angle_gamma 90.00
_symmetry_space_group_name_H-M 'P 1'
_symmetry_Int_Tables_number 1
_symmetry_space_group_name_Hall 'P 1'
loop_
_atom_site_label
_atom_site_fract_x
_atom_site_fract_y
_atom_site_fract_z
Pt1 0.5000 0.0000 0.1681
Tb1 0.0000 0.0000 0.3351
Pt2 0.5000 0.5000 0.6682
Pt3 0.0000 0.5000 0.8319
Tb2 0.0000 0.0000 0.6649
Pt4 0.5000 0.0000 0.5000
Pt5 0.0000 0.5000 0.5000
Pt6 0.5000 0.5000 0.0000
Pt7 0.5000 0.5000 0.3318
Pb1 0.0000 0.0000 0.0000
Pt8 0.0000 0.5000 0.1681
Pt9 0.5000 0.0000 0.8319
# * calculated formation energy: -8.541 eV/f.u.
# * space group: P4/mmm

***

[7]
# AgCO3 (PBE, relaxed)
data_AgCO3
_chemical_formula_sum 'Ag2 C2 O6'
_cell_length_a 6.2240
_cell_length_b 6.2240
_cell_length_c 6.2240
_cell_angle_alpha 47.75
_cell_angle_beta 47.75
_cell_angle_gamma 47.75
_symmetry_space_group_name_H-M 'P 1'
_symmetry_Int_Tables_number 1
_symmetry_space_group_name_Hall 'P 1'
loop_
_atom_site_label
_atom_site_fract_x
_atom_site_fract_y
_atom_site_fract_z
O1 0.0069 0.7500 0.4931
C1 0.7500 0.7500 0.7500
Ag1 0.5000 0.5000 0.5000
O2 0.7500 0.4931 0.0069
C2 0.2500 0.2500 0.2500
O3 0.5069 0.9931 0.2500
O4 0.4931 0.0069 0.7500
Ag2 0.0000 0.0000 0.0000
O5 0.9931 0.2500 0.5069
O6 0.2500 0.5069 0.9931
# * space group: R-3c

***

[8]
# UP2Pd (PBE, relaxed)
data_UP2Pd
_chemical_formula_sum 'U2 P4 Pd2'
_cell_length_a 3.8607
_cell_length_b 3.8607
_cell_length_c 9.4618
_cell_angle_alpha 101.77
_cell_angle_beta 101.77
_cell_angle_gamma 90.00
_symmetry_space_group_name_H-M 'P 1'
_symmetry_Int_Tables_number 1
_symmetry_space_group_name_Hall 'P 1'
loop_
_atom_site_label
_atom_site_fract_x
_atom_site_fract_y
_atom_site_fract_z
P1 0.0000 0.5000 0.0000
P2 0.6551 0.6551 0.3103
P3 0.5000 0.0000 0.0000
Pd1 0.7500 0.2500 0.5000
P4 0.3449 0.3449 0.6897
U1 0.8911 0.8911 0.7822
U2 0.1089 0.1089 0.2178
Pd2 0.2500 0.7500 0.5000
# * calculated formation energy: -3.095 eV/f.u.
# * space group: I4/mmm

***

[9]
# Hf5Ge3 (PBE, relaxed)
data_Hf5Ge3
_chemical_formula_sum 'Hf10 Ge6'
_cell_length_a 7.9967
_cell_length_b 7.9967
_cell_length_c 5.5492
_cell_angle_alpha 90.00
_cell_angle_beta 90.00
_cell_angle_gamma 120.00
_symmetry_space_group_name_H-M 'P 1'
_symmetry_Int_Tables_number 1
_symmetry_space_group_name_Hall 'P 1'
loop_
_atom_site_label
_atom_site_fract_x
_atom_site_fract_y
_atom_site_fract_z
Ge1 0.3895 0.3895 0.2500
Hf1 0.0000 0.2522 0.2500
Ge2 0.6105 0.0000 0.2500
Hf2 0.7478 0.0000 0.7500
Ge3 0.0000 0.3895 0.7500
Hf3 0.0000 0.7478 0.7500
Ge4 0.0000 0.6105 0.2500
Hf4 0.3333 0.6667 0.0000
Hf5 0.3333 0.6667 0.5000
Hf6 0.7478 0.7478 0.2500
Ge5 0.3895 0.0000 0.7500
Hf7 0.2522 0.2522 0.7500
Hf8 0.6667 0.3333 0.0000
Hf9 0.2522 0.0000 0.2500
Ge6 0.6105 0.6105 0.7500
Hf10 0.6667 0.3333 0.5000
# * energy above the lowest structure with this stoichiometry: 0 meV/atom
# * calculated formation energy: -5.481 eV/f.u.
# * space group: P6_3/mcm

***

[10]
# SnH (PBE, relaxed)
data_SnH
_chemical_formula_sum 'Sn2 H2'
_cell_length_a 3.6174
_cell_length_b 3.6174
_cell_length_c 5.9739
_cell_angle_alpha 90.00
_cell_angle_beta 90.00
_cell_angle_gamma 120.00
_symmetry_space_group_name_H-M 'P 1'
_symmetry_Int_Tables_number 1
_symmetry_space_group_name_Hall 'P 1'
loop_
_atom_site_label
_atom_site_fract_x
_atom_site_fract_y
_atom_site_fract_z
Sn1 0.3333 0.6667 0.7186
H1 0.3333 0.6667 0.3634
Sn2 0.6667 0.3333 0.2186
H2 0.6667 0.3333 0.8634
# * energy above the lowest structure with this stoichiometry: 447 meV/atom
# * space group: P6_3mc

***

[11]
# MnRu2Br (PBE, relaxed)
data_MnRu2Br
_chemical_formula_sum 'Mn1 Ru2 Br1'
_cell_length_a 4.4248
_cell_length_b 4.4248
_cell_length_c 3.0599
_cell_angle_alpha 90.00
_cell_angle_beta 90.00
_cell_angle_gamma 90.06
_symmetry_space_group_name_H-M 'P 1'
_symmetry_Int_Tables_number 1
_symmetry_space_group_name_Hall 'P 1'
loop_
_atom_site_label
_atom_site_fract_x
_atom_site_fract_y
_atom_site_fract_z
Ru1 0.0000 0.0000 0.0000
Br1 0.5000 0.0000 0.5000
Mn1 0.0000 0.5000 0.5000
Ru2 0.5000 0.5000 0.0000
# * energy above the lowest structure with this stoichiometry: 316 meV/atom
# * space group: P4/mmm

***

[12]
# NaLa3Ir (PBE, relaxed)
data_NaLa3Ir
_chemical_formula_sum 'Na2 La6 Ir2'
_cell_length_a 8.0482
_cell_length_b 8.0482
_cell_length_c 8.0482
_cell_angle_alpha 60.56
_cell_angle_beta 60.56
_cell_angle_gamma 60.56
_symmetry_space_group_name_H-M 'P 1'
_symmetry_Int_Tables_number 1
_symmetry_space_group_name_Hall 'P 1'
loop_
_atom_site_label
_atom_site_fract_x
_atom_site_fract_y
_atom_site_fract_z
Ir1 0.2964 0.2964 0.2964
La1 0.0462 0.5141 0.5788
La2 0.5462 0.0788 0.0141
Na1 0.0462 0.0462 0.0462
Ir2 0.7964 0.7964 0.7964
Na2 0.5462 0.5462 0.5462
La3 0.5141 0.5788 0.0462
La4 0.0141 0.5462 0.0788
La5 0.5788 0.0462 0.5141
La6 0.0788 0.0141 0.5462
# * energy above the lowest structure with this stoichiometry: 46 meV/atom
# * calculated formation energy: -1.394 eV/f.u.
# * space group: R-3c

***

Computed values of energy (unit: eV/cell) for the preceding records, in sequence: -68.64, -36.58, -68.40, -57.34, -21.26, -75.88, -62.05, -60.79, -138.20, -12.64, -26.48, -52.71.